## SmHo2C3 (PBE)

Data for SmHo2C3 after structural relaxation.

The space group is Imma (No. 74) and the conventional cell measures 5.6781, 10.3644 and 7.4846 Å, with angles of 90.00, 90.00 and 90.00 degrees. Symmetry generates all atoms from Sm at (0.0000, 0.2500, 0.0376), Ho at (0.0000, 0.0772, 0.6676), C at (0.1206, 0.0000, 0.0000) and C at (0.2500, 0.2500, 0.7500).

For the formation energy, the calculation gives -0.0669 eV per atom. The uncorrected energy is -6.991 eV per atom.